A geometry-optimized LiAcTbSe3 structure, computed with PBE-GGA.

```
data_LiAcTbSe3
_chemical_formula_sum 'Li2 Ac2 Tb2 Se6'
_cell_length_a 8.667
_cell_length_b 4.143
_cell_length_c 9.077
_cell_angle_alpha 90.00
_cell_angle_beta 104.27
_cell_angle_gamma 90.00
_space_group_name_H-M_alt 'P 1 21/m 1'
_space_group_IT_number 11
loop_
_space_group_symop_operation_xyz
'x,y,z'
'-x,-y,-z'
'-x,y+1/2,-z'
'x,-y+1/2,z'
loop_
_atom_site_label
_atom_site_fract_x
_atom_site_fract_y
_atom_site_fract_z
Li1 0.088 0.250 0.088
Ac1 0.191 0.250 0.730
Tb1 0.335 0.750 0.345
Se1 0.102 0.250 0.368
Se2 0.215 0.750 0.010
Se3 0.441 0.750 0.677
```

- M_tot: 0.00 μB/cell
- Fermi-level density of states: 2.655 states/eV/f.u.
- E_tot: -31.45 eV per formula unit
- Formation energy (no corrections): -10.3 eV/f.u.

A geometry-optimized V2CrRh8 structure, computed with PBE-GGA.

```
data_V2CrRh8
_chemical_formula_sum 'V4 Cr2 Rh16'
_cell_length_a 4.007
_cell_length_b 6.556
_cell_length_c 11.891
_cell_angle_alpha 90.00
_cell_angle_beta 90.00
_cell_angle_gamma 90.00
_space_group_name_H-M_alt 'I m m m'
_space_group_IT_number 71
_space_group_name_Hall '-I 2 2'
loop_
_atom_site_label
_atom_site_fract_x
_atom_site_fract_y
_atom_site_fract_z
V1 0.000 0.000 0.201
Cr1 0.000 0.000 0.500
Rh1 0.000 0.199 0.000
Rh2 0.000 0.287 0.347
Rh3 0.000 0.500 0.150
```

- M_tot: 1.76 μB/cell
- Fermi-level density of states: 11.784 states/eV/f.u.
- E_form: -0.15 eV/atom
- E_tot: -88.36 eV per formula unit

A geometry-optimized In5AgSn structure, computed with PBE-GGA.

```
data_In5AgSn
_chemical_formula_sum 'In20 Ag4 Sn4'
_cell_length_a 11.445
_cell_length_b 11.336
_cell_length_c 5.756
_cell_angle_alpha 90.00
_cell_angle_beta 102.12
_cell_angle_gamma 90.00
_space_group_name_H-M_alt 'C 1 2/c 1'
_space_group_IT_number 15
loop_
_space_group_symop_operation_xyz
'x,y,z'
'-x,-y,-z'
'-x,y,-z+1/2'
'x,-y,z+1/2'
'x+1/2,y+1/2,z'
'-x+1/2,-y+1/2,-z'
'-x+1/2,y+1/2,-z+1/2'
'x+1/2,-y+1/2,z+1/2'
loop_
_atom_site_label
_atom_site_fract_x
_atom_site_fract_y
_atom_site_fract_z
In1 0.000 0.242 0.250
In2 0.147 0.309 0.830
In3 0.246 0.415 0.405
Ag1 0.000 0.500 0.000
Sn1 0.000 0.059 0.750
```

- M_tot: 0.00 μB/cell
- Fermi-level density of states: 2.665 states/eV/f.u.
- E_form: 0.05 eV/atom
- E_tot: -20.22 eV per formula unit